# PBE+U K2MnIO6, relaxed
data_K2MnIO6
_chemical_formula_sum 'K4 Mn2 I2 O12'
_symmetry_space_group_name_H-M 'I 4/m m m'
_symmetry_Int_Tables_number 139
_symmetry_space_group_name_Hall '-I 4 2'
_cell_length_a 5.7747
_cell_length_b 5.7747
_cell_length_c 7.8569
_cell_angle_alpha 90.00
_cell_angle_beta 90.00
_cell_angle_gamma 90.00
loop_
_atom_site_label
_atom_site_fract_x
_atom_site_fract_y
_atom_site_fract_z
K1 0.0000 0.5000 0.2500
Mn1 0.0000 0.0000 0.0000
I1 0.0000 0.0000 0.5000
O1 0.0000 0.0000 0.2535
O2 0.2326 0.2326 0.5000
# total moment: 0.43 μB per atom
# E_tot: -5.128 eV per atom
# Fermi-level density of states: 6.4 states/eV/f.u.